Entry 1:
A relaxed Nd2SmYEr5 crystal, computed with PBE.

The structure in POSCAR format:
```
Nd2SmYEr5
1.0
8.613 0.000 0.000
0.000 8.613 0.000
-4.307 -4.307 7.813
Y Er Sm Nd
2 10 2 4
direct
0.250 0.250 0.500
0.750 0.750 0.500
0.500 0.500 0.000
0.429 0.350 0.279
0.929 0.429 0.279
0.000 0.000 0.000
0.071 0.571 0.721
0.350 0.850 0.279
0.150 0.071 0.721
0.571 0.650 0.721
0.650 0.150 0.721
0.850 0.929 0.279
0.750 0.250 0.500
0.250 0.750 0.500
0.618 0.118 0.000
0.882 0.618 0.000
0.382 0.882 0.000
0.118 0.382 0.000
```

Output
Total energy, eV/atom: -4.577
M_tot, μB per atom: 0.00
N(E_F), states/eV/atom: 1.150
Energy of formation from the pure elements, kJ per mole of atoms: 25.1
Crystal system: tetragonal



Entry 2:
A relaxed Nd5Sc4Ga4 crystal, computed with PBE.

The structure in POSCAR format:
```
Nd5Sc4Ga4
1.0
-4.011 -0.282 2.153
1.868 -3.981 7.790
-0.608 7.592 4.693
Sc Nd Ga
4 5 4
direct
0.585 0.315 0.515
0.100 0.485 0.315
0.415 0.685 0.485
0.900 0.515 0.685
0.299 0.076 0.326
0.625 0.674 0.076
0.375 0.326 0.924
0.701 0.924 0.674
0.000 0.000 0.000
0.931 0.817 0.321
0.069 0.183 0.679
0.252 0.679 0.817
0.748 0.321 0.183
```

Output
Total energy, eV/atom: -5.095
M_tot, μB per atom: 0.01
N(E_F), states/eV/atom: 1.434
Energy of formation from the pure elements, kJ per mole of atoms: -36.8
Crystal system: tetragonal



Entry 3:
A relaxed SrSc2Au2 crystal, computed with PBE.

The structure in POSCAR format:
```
SrSc2Au2
1.0
-0.536 -4.857 -1.462
2.912 -1.499 3.910
-3.108 -3.616 4.255
Au Sc Sr
2 2 1
direct
0.750 0.250 0.500
0.250 0.750 0.500
0.347 0.347 0.306
0.653 0.653 0.694
0.000 0.000 0.000
```

Output
Total energy, eV/atom: -4.602
M_tot, μB per atom: 0.20
N(E_F), states/eV/atom: 1.186
Energy of formation from the pure elements, kJ per mole of atoms: -40.7
Crystal system: tetragonal



Entry 4:
A relaxed Tb7Ni2Sb2 crystal, computed with PBE.

The structure in POSCAR format:
```
Tb7Ni2Sb2
1.0
6.839 -0.003 -0.754
0.003 6.781 0.003
-1.178 -0.002 6.779
Tb Sb Ni
7 2 2
direct
0.500 0.751 0.000
0.500 0.232 0.500
0.000 0.000 0.000
0.500 0.249 0.000
0.000 0.751 0.500
0.500 0.768 0.500
0.000 0.249 0.500
0.192 0.500 0.192
0.808 0.500 0.808
0.283 0.000 0.717
0.717 0.000 0.283
```

Output
Total energy, eV/atom: -5.128
M_tot, μB per atom: 0.00
N(E_F), states/eV/atom: 0.903
Crystal system: orthorhombic
ΔE_f (raw), meV/atom: -381



Entry 5:
A relaxed SmGe3Pd3 crystal, computed with PBE.

The structure in POSCAR format:
```
SmGe3Pd3
1.0
-3.089 -3.149 5.160
5.252 1.471 4.041
-2.993 5.831 1.767
Sm Pd Ge
2 6 6
direct
0.000 0.000 0.000
0.500 0.500 0.500
0.000 0.500 0.250
0.500 0.250 0.000
0.750 0.000 0.500
0.250 0.000 0.500
0.000 0.500 0.750
0.500 0.750 0.000
0.500 0.000 0.750
0.500 0.000 0.250
0.000 0.250 0.500
0.750 0.500 0.000
0.000 0.750 0.500
0.250 0.500 0.000
```

Output
Total energy, eV/atom: -5.149
M_tot, μB per atom: 0.00
N(E_F), states/eV/atom: 0.746
Energy of formation from the pure elements, kJ per mole of atoms: -26.1
Crystal system: cubic



Entry 6:
A relaxed Pm3Nd6Ho2Sc crystal, computed with PBE.

The structure in POSCAR format:
```
Pm3Nd6Ho2Sc
1.0
-0.978 -4.222 4.544
5.767 2.286 -0.973
-3.746 9.302 6.395
Nd Ho Sc Pm
6 2 1 3
direct
0.919 0.589 0.756
0.589 0.919 0.756
0.411 0.081 0.244
0.081 0.411 0.244
0.249 0.249 0.756
0.751 0.751 0.244
0.667 0.333 0.000
0.333 0.667 0.000
0.000 0.000 0.000
0.833 0.167 0.500
0.500 0.500 0.500
0.167 0.833 0.500
```

Output
Total energy, eV/atom: -4.835
M_tot, μB per atom: 0.00
N(E_F), states/eV/atom: 1.278
Energy of formation from the pure elements, kJ per mole of atoms: 2.6
Crystal system: monoclinic